No. 1
This record from Alexandria via LeMat-Bulk describes an optimized crystal structure of CaBe2Os. The functional is PBE.

Geometry as extended XYZ:
```
4
Lattice="-4.094 0.782 0.698 -3.511 -1.988 -1.256 -1.513 -3.064 3.894" Properties=species:S:1:pos:R:3 pbc="T T T"
Be -7.542 -1.705 0.168
Be -4.622 -1.636 0.942
Ca -6.838 -3.203 2.502
Os -2.279 -1.068 0.834
```

* uncorrected energy: -5.16 eV per atom
* total magnetization: 0.00 μB/f.u.
* N(E_F): 1.69 states/eV/cell
* excess energy over the best structure of this formula in the dataset: 42 meV per atom
* space-group type: No. 12

No. 2
This record from Alexandria via LeMat-Bulk describes an optimized crystal structure of CaBe2Os. The functional is PBE.

Geometry as extended XYZ:
```
4
Lattice="-2.045 -1.367 -4.363 3.028 -0.072 -3.989 0.111 -1.785 4.678" Properties=species:S:1:pos:R:3 pbc="T T T"
Be 0.000 0.000 0.000
Be 1.815 -1.288 -1.743
Ca 0.492 -0.719 -4.176
Os -0.721 -1.936 -1.930
```

* uncorrected energy: -4.52 eV per atom
* total magnetization: 0.54 μB/f.u.
* N(E_F): 2.43 states/eV/cell
* excess energy over the best structure of this formula in the dataset: 682 meV per atom
* space-group type: No. 119

No. 3
This record from Alexandria via LeMat-Bulk describes an optimized crystal structure of CaBe2Os. The functional is PBE.

Geometry as extended XYZ:
```
4
Lattice="5.439 -0.023 -0.015 4.046 3.635 -0.015 4.046 1.541 3.292" Properties=species:S:1:pos:R:3 pbc="T T T"
Be 0.818 0.312 0.197
Be 5.947 2.264 1.434
Ca 3.383 1.288 0.816
Os 10.148 3.864 2.447
```

* uncorrected energy: -5.14 eV per atom
* total magnetization: 0.00 μB/f.u.
* N(E_F): 2.35 states/eV/cell
* excess energy over the best structure of this formula in the dataset: 59 meV per atom
* space-group type: No. 166

No. 4
This record from Alexandria via LeMat-Bulk describes an optimized crystal structure of CaBeOs2. The functional is PBE.

Geometry as extended XYZ:
```
4
Lattice="5.103 -0.005 0.000 2.243 4.583 0.000 -3.673 -2.289 2.703" Properties=species:S:1:pos:R:3 pbc="T T T"
Be 1.122 2.292 1.352
Ca 2.551 -0.002 1.352
Os 0.000 0.000 0.000
Os 3.673 2.289 0.000
```

* uncorrected energy: -6.28 eV per atom
* total magnetization: 0.00 μB/f.u.
* N(E_F): 5.75 states/eV/cell
* space-group type: No. 139